#A
# Cs4K3Rb2

A relaxed structure of Cs4K3Rb2 (PBE, the Alexandria database).

Cell: 8.468 14.717 14.717 Å, 108.81 90.05 90.05°
Atoms (fractional coordinates):
Cs  0.501  0.132  0.666
Cs  0.999  0.334  0.868
Cs  0.499  0.868  0.334
Cs  0.001  0.666  0.132
Cs  0.997  0.817  0.505
Cs  0.503  0.495  0.183
Cs  0.003  0.183  0.495
Cs  0.497  0.505  0.817
K  0.000  0.009  0.850
K  0.500  0.150  0.991
K  0.000  0.991  0.150
K  0.500  0.850  0.009
K  0.250  0.502  0.498
K  0.750  0.498  0.502
Rb  0.499  0.805  0.688
Rb  0.001  0.312  0.195
Rb  0.501  0.195  0.312
Rb  0.999  0.688  0.805

Computed properties:
- Volume: 96.444 Å³/atom

***

#B
# Cs4K3Rb2

A relaxed structure of Cs4K3Rb2 (PBE, the Alexandria database).

Cell: 5.284 13.357 13.100 Å, 109.74 101.63 90.00°
Atoms (fractional coordinates):
Cs  0.527  0.330  0.054
Cs  0.800  0.683  0.600
Cs  0.473  0.670  0.946
Cs  0.200  0.317  0.400
K  0.864  0.343  0.729
K  0.136  0.657  0.271
K  0.000  0.000  0.000
Rb  0.338  0.029  0.676
Rb  0.662  0.971  0.324

Computed properties:
- Volume: 94.444 Å³/atom

***

Most stable structure, least stable structure: #B, #A.